# Tm3WCl2O6

Crystalline Tm3WCl2O6 at its relaxed geometry (GGA+U, Alexandria via LeMat-Bulk).

Summary:
Energy, eV per atom: -7.130
N(E_F), states/eV/f.u.: 0.00

Structure (CIF):
```
data_Tm3WCl2O6
_chemical_formula_sum 'Tm6 W2 Cl4 O12'
_cell_length_a 11.436
_cell_length_b 6.479
_cell_length_c 5.410
_cell_angle_alpha 90.00
_cell_angle_beta 100.55
_cell_angle_gamma 90.00
_space_group_name_H-M_alt 'C 1 2/m 1'
_space_group_IT_number 12
loop_
_space_group_symop_operation_xyz
'x,y,z'
'-x,-y,-z'
'-x,y,-z'
'x,-y,z'
'x+1/2,y+1/2,z'
'-x+1/2,-y+1/2,-z'
'-x+1/2,y+1/2,-z'
'x+1/2,-y+1/2,z'
loop_
_atom_site_label
_atom_site_type_symbol
_atom_site_fract_x
_atom_site_fract_y
_atom_site_fract_z
_atom_site_occupancy
Tm1 Tm 0.000 0.000 0.000 1
Tm2 Tm 0.250 0.250 0.500 1
W1 W 0.000 0.500 0.500 1
Cl1 Cl 0.204 0.000 0.846 1
O1 O 0.060 0.258 0.297 1
O2 O 0.171 0.500 0.668 1
```

***

# TmWClO4

Crystalline TmWClO4 at its relaxed geometry (GGA+U, Alexandria via LeMat-Bulk).

Summary:
Energy, eV per atom: -7.223
N(E_F), states/eV/f.u.: 0.00

Structure (CIF):
```
data_TmWClO4
_chemical_formula_sum 'Tm4 W4 Cl4 O16'
_cell_length_a 10.282
_cell_length_b 7.266
_cell_length_c 6.931
_cell_angle_alpha 90.00
_cell_angle_beta 108.20
_cell_angle_gamma 90.00
_space_group_name_H-M_alt 'C 1 2/m 1'
_space_group_IT_number 12
loop_
_space_group_symop_operation_xyz
'x,y,z'
'-x,-y,-z'
'-x,y,-z'
'x,-y,z'
'x+1/2,y+1/2,z'
'-x+1/2,-y+1/2,-z'
'-x+1/2,y+1/2,-z'
'x+1/2,-y+1/2,z'
loop_
_atom_site_label
_atom_site_type_symbol
_atom_site_fract_x
_atom_site_fract_y
_atom_site_fract_z
_atom_site_occupancy
Tm1 Tm 0.222 0.000 0.118 1
W1 W 0.137 0.500 0.266 1
Cl1 Cl 0.011 0.000 0.771 1
O1 O 0.048 0.500 0.811 1
O2 O 0.203 0.305 0.158 1
O3 O 0.203 0.500 0.538 1
```